# 1
# MgZrAlNi | OQMD via LeMat-Bulk | PBE-GGA | relaxed
# **E**: -81.54 eV per cell
data_MgZrAlNi
_chemical_formula_sum 'Mg4 Zr4 Al4 Ni4'
_space_group_name_H-M_alt 'F -4 3 m'
_space_group_IT_number 216
_space_group_name_Hall 'F -4 2 3'
_cell_length_a 6.407
_cell_length_b 6.407
_cell_length_c 6.407
_cell_angle_alpha 90.00
_cell_angle_beta 90.00
_cell_angle_gamma 90.00
loop_
_atom_site_label
_atom_site_fract_x
_atom_site_fract_y
_atom_site_fract_z
Mg1 0.000 0.000 0.000
Zr1 0.250 0.250 0.750
Al1 0.250 0.250 0.250
Ni1 0.000 0.000 0.500

---

# 2
# Mg16NpAl12 | OQMD via LeMat-Bulk | PBE-GGA | relaxed
# **E**: -245.53 eV per cell
data_Mg16NpAl12
_chemical_formula_sum 'Mg48 Np3 Al36'
_space_group_name_H-M_alt 'R 3 m'
_space_group_IT_number 160
_space_group_name_Hall 'R 3 -2"'
_cell_length_a 15.0957
_cell_length_b 15.0957
_cell_length_c 8.8353
_cell_angle_alpha 90.00
_cell_angle_beta 90.00
_cell_angle_gamma 120.00
loop_
_atom_site_label
_atom_site_fract_x
_atom_site_fract_y
_atom_site_fract_z
Mg1 0.0000 0.0000 0.0000
Mg2 0.0304 0.3593 0.3624
Mg3 0.1052 0.5526 0.5505
Mg4 0.1102 0.2205 0.4971
Mg5 0.1992 0.3985 0.1186
Np1 0.0000 0.0000 0.3730
Al1 0.0016 0.1803 0.1877
Al2 0.1211 0.0606 0.6849
Al3 0.2125 0.4250 0.5958

---

# 3
# MgNpAl | OQMD via LeMat-Bulk | PBE-GGA | relaxed
# **E**: -66.07 eV per cell
data_MgNpAl
_chemical_formula_sum 'Mg4 Np4 Al4'
_space_group_name_H-M_alt 'F -4 3 m'
_space_group_IT_number 216
_space_group_name_Hall 'F -4 2 3'
_cell_length_a 6.826
_cell_length_b 6.826
_cell_length_c 6.826
_cell_angle_alpha 90.00
_cell_angle_beta 90.00
_cell_angle_gamma 90.00
loop_
_atom_site_label
_atom_site_fract_x
_atom_site_fract_y
_atom_site_fract_z
Mg1 0.000 0.000 0.000
Np1 0.000 0.000 0.500
Al1 0.250 0.250 0.250

---

# 4
# MgTaAlOs | OQMD via LeMat-Bulk | PBE-GGA | relaxed
# **Polymorph energy (0 for the lowest one)**: 0.00 kcal/mol of atoms
data_MgTaAlOs
_chemical_formula_sum 'Mg4 Ta4 Al4 Os4'
_space_group_name_H-M_alt 'F -4 3 m'
_space_group_IT_number 216
_space_group_name_Hall 'F -4 2 3'
_cell_length_a 6.312
_cell_length_b 6.312
_cell_length_c 6.312
_cell_angle_alpha 90.00
_cell_angle_beta 90.00
_cell_angle_gamma 90.00
loop_
_atom_site_label
_atom_site_fract_x
_atom_site_fract_y
_atom_site_fract_z
Mg1 0.000 0.000 0.000
Ta1 0.250 0.250 0.250
Al1 0.250 0.250 0.750
Os1 0.000 0.000 0.500

---

Calculated density
In order: 5.08, 2.71, 6.02, 11.16
Unit: Mg/m³